DFT (GGA-PBEsol) results for a geometry-optimized ScIr2Pt structure.

Cell lengths 9.150, 9.150, 9.150 Å; angles 17.59, 17.59, 17.59 degrees
Sites, in units of the cell vectors:
Sc  0.000  0.000  0.000
Ir  0.498  0.498  0.498
Ir  0.752  0.752  0.752
Pt  0.250  0.250  0.250

Output
Formation energy in eV/atom: -0.159
Calculated density in g/cm3: 17.0
Fermi-level density of states in states/eV/cell: 4.14

DFT (GGA-PBEsol) results for a geometry-optimized ScIrPt2 structure.

Cell lengths 4.858, 4.858, 4.722 Å; angles 100.41, 100.41, 34.50 degrees
Sites, in units of the cell vectors:
Sc  0.000  0.000  0.000
Ir  0.500  0.500  0.500
Pt  0.246  0.246  0.741
Pt  0.754  0.754  0.259

Output
Formation energy in eV/atom: -0.564
Calculated density in g/cm3: 16.8
Fermi-level density of states in states/eV/cell: 4.08

DFT (GGA-PBEsol) results for a geometry-optimized Sc2IrPtSe structure.

Cell lengths 4.794, 4.794, 4.505 Å; angles 90.00, 90.00, 90.00 degrees
Sites, in units of the cell vectors:
Sc  0.000  0.500  0.000
Sc  0.500  0.000  0.000
Ir  0.000  0.000  0.500
Pt  0.500  0.500  0.500
Se  0.500  0.500  0.000

Output
Calculated density in g/cm3: 8.9
Raw formation energy in eV/atom: 0.10
Fermi-level density of states in states/eV/cell: 3.33

DFT (GGA-PBEsol) results for a geometry-optimized Ir2PtSe structure.

Cell lengths 4.650, 4.650, 2.789 Å; angles 90.00, 90.00, 90.00 degrees
Sites, in units of the cell vectors:
Ir  0.000  0.500  0.000
Ir  0.500  0.000  0.000
Pt  0.000  0.000  0.500
Se  0.500  0.500  0.500

Output
Calculated density in g/cm3: 18.1
Raw formation energy in eV/atom: 0.43
Fermi-level density of states in states/eV/cell: 3.88

DFT (GGA-PBEsol) results for a geometry-optimized IrPtSe structure.

Cell lengths 7.443, 7.172, 2.791 Å; angles 84.53, 73.55, 21.92 degrees
Sites, in units of the cell vectors:
Ir  0.000  0.000  0.000
Pt  0.334  0.334  0.666
Se  0.651  0.651  0.349

Output
Calculated density in g/cm3: 16.4
Raw formation energy in eV/atom: 0.40
Fermi-level density of states in states/eV/cell: 2.41

DFT (GGA-PBEsol) results for a geometry-optimized IrPt2Se structure.

Cell lengths 9.641, 9.641, 9.641 Å; angles 157.64, 157.64, 31.83 degrees
Sites, in units of the cell vectors:
Ir  0.000  0.000  0.000
Ir  0.750  0.250  0.500
Pt  0.117  0.625  0.992
Pt  0.375  0.367  0.492
Pt  0.633  0.125  0.008
Pt  0.875  0.883  0.508
Se  0.250  0.750  0.500
Se  0.500  0.500  0.000

Output
Calculated density in g/cm3: 16.9
Raw formation energy in eV/atom: 0.32
Fermi-level density of states in states/eV/cell: 6.23

DFT (GGA-PBEsol) results for a geometry-optimized Ir2PtSe structure.

Cell lengths 2.762, 2.762, 9.274 Å; angles 90.00, 90.00, 121.01 degrees
Sites, in units of the cell vectors:
Ir  0.000  0.000  0.249
Ir  0.000  0.000  0.751
Pt  0.500  0.500  0.500
Se  0.500  0.500  0.000

Output
Calculated density in g/cm3: 18.0
Raw formation energy in eV/atom: 0.45
Fermi-level density of states in states/eV/cell: 3.96

DFT (GGA-PBEsol) results for a geometry-optimized SiIrPt2 structure.

Cell lengths 5.334, 5.334, 4.362 Å; angles 114.02, 114.02, 30.60 degrees
Sites, in units of the cell vectors:
Si  0.000  0.000  0.000
Ir  0.297  0.297  0.796
Pt  0.504  0.504  0.504
Pt  0.709  0.709  0.208

Output
Calculated density in g/cm3: 17.7
Raw formation energy in eV/atom: -0.32
Fermi-level density of states in states/eV/cell: 3.40